--- P ---
InAs2Cl (SCAN, single point on PBEsol structure); crystal system = cubic; DOS at the Fermi energy = 1.805 states/eV per cell; mass density = 6.3 Mg/m³
1.0
4.825 0.000 0.000
2.412 4.178 0.000
2.412 1.393 3.939
As In Cl
2 1 1
Direct
0.250 0.250 0.250 As
0.750 0.750 0.750 As
0.500 0.500 0.500 In
0.000 0.000 0.000 Cl

=====

--- Q ---
InAs2Cl (SCAN, single point on PBEsol structure); crystal system = orthorhombic; DOS at the Fermi energy = 1.564 states/eV per cell; mass density = 6.0 Mg/m³
1.0
3.299 0.000 0.000
0.000 4.533 0.000
-1.649 -2.266 5.588
Cl In As
1 1 2
Direct
0.500 0.000 0.000 Cl
0.000 0.500 0.000 In
0.283 0.283 0.566 As
0.717 0.717 0.434 As

=====

Which of them is least stable? Easy: P.

=====

--- P ---
LaAsCl2 (SCAN, single point on PBEsol structure); crystal system = monoclinic; mass density = 5.0 Mg/m³
1.0
4.113 0.000 0.000
0.000 4.739 0.047
-2.057 -0.603 4.879
As La Cl
1 1 2
Direct
0.000 0.500 0.000 As
0.500 0.000 0.000 La
0.799 0.778 0.597 Cl
0.201 0.222 0.403 Cl

=====

--- Q ---
LaAsCl2 (SCAN, single point on PBEsol structure); crystal system = monoclinic; mass density = 4.6 Mg/m³
1.0
4.429 0.000 0.000
0.000 4.438 -0.004
0.000 -0.772 5.248
Cl As La
2 1 1
Direct
0.000 0.085 0.061 Cl
0.500 0.601 0.250 Cl
0.500 0.426 0.645 As
0.000 0.888 0.544 La

=====

Which of them is least stable? Easy: P.

=====

--- P ---
MnAsSe2Cl (SCAN, single point on PBEsol structure); crystal system = tetragonal; DOS at the Fermi energy = 1.170 states/eV per cell; mass density = 4.5 Mg/m³
1.0
4.671 0.000 0.000
0.000 5.051 0.000
0.000 0.000 5.051
Cl As Se Mn
1 1 2 1
Direct
0.500 0.000 0.000 Cl
0.000 0.000 0.000 As
0.000 0.000 0.500 Se
0.000 0.500 0.000 Se
0.500 0.500 0.500 Mn

=====

--- Q ---
MnAsSe2Cl (SCAN, single point on PBEsol structure); crystal system = tetragonal; DOS at the Fermi energy = 3.836 states/eV per cell; mass density = 5.4 Mg/m³
1.0
-0.505 3.155 3.259
-4.260 0.795 -1.429
-1.629 -3.352 2.992
Se Mn Cl As
2 1 1 1
Direct
0.500 0.000 0.000 Se
0.000 0.500 0.000 Se
0.000 0.000 0.000 Mn
0.500 0.500 0.500 Cl
0.000 0.000 0.500 As

=====

Which of them is least stable? Easy: Q.

=====

--- P ---
MoAsCl2 (SCAN, single point on PBEsol structure); crystal system = tetragonal; DOS at the Fermi energy = 1.674 states/eV per cell; mass density = 6.2 Mg/m³
1.0
4.236 0.000 0.000
-2.118 4.202 -0.141
0.000 2.256 3.586
Cl Mo As
2 1 1
Direct
0.250 0.500 0.250 Cl
0.000 0.000 0.000 Cl
0.500 0.000 0.500 Mo
0.750 0.500 0.750 As

=====

--- Q ---
MoAsCl2 (SCAN, single point on PBEsol structure); crystal system = tetragonal; DOS at the Fermi energy = 1.346 states/eV per cell; mass density = 4.6 Mg/m³
1.0
-0.537 -3.148 0.392
2.579 -0.665 -1.805
4.891 0.035 6.973
As Mo Cl
1 1 2
Direct
0.500 0.500 0.558 As
0.000 0.000 0.690 Mo
0.500 0.500 0.302 Cl
0.000 0.000 0.951 Cl

=====

Which of them is least stable? Easy: P.

=====

--- P ---
AsSNCl2 (SCAN, single point on PBEsol structure); crystal system = tetragonal; DOS at the Fermi energy = 3.595 states/eV per cell; mass density = 4.1 Mg/m³
1.0
-2.205 3.239 -1.202
-2.248 -2.428 -2.419
-2.978 -0.729 3.498
As S Cl N
1 1 2 1
Direct
0.500 0.500 0.500 As
0.000 0.000 0.500 S
0.000 0.500 0.000 Cl
0.500 0.000 0.000 Cl
0.000 0.000 0.000 N

=====

--- Q ---
AsSNCl2 (SCAN, single point on PBEsol structure); crystal system = tetragonal; DOS at the Fermi energy = 4.008 states/eV per cell; mass density = 2.8 Mg/m³
1.0
-1.522 -4.458 -0.642
2.893 -1.516 3.675
-3.651 0.785 3.198
N Cl S As
1 2 1 1
Direct
0.500 0.500 0.500 N
0.000 0.000 0.500 Cl
0.000 0.500 0.000 Cl
0.500 0.000 0.000 S
0.000 0.000 0.000 As

=====

Which of them is least stable? Easy: P.

=====

--- P ---
Ni3AsCl (SCAN, single point on PBEsol structure); crystal system = cubic; DOS at the Fermi energy = 3.817 states/eV per cell; mass density = 6.7 Mg/m³
1.0
-3.625 -0.244 -1.999
0.552 -4.079 -0.503
-1.937 -0.706 3.598
Cl As Ni
1 1 3
Direct
0.000 0.000 0.000 Cl
0.500 0.500 0.500 As
0.500 0.000 0.000 Ni
0.000 0.500 0.000 Ni
0.000 0.000 0.500 Ni

=====

--- Q ---
Ni3AsCl (SCAN, single point on PBEsol structure); crystal system = cubic; DOS at the Fermi energy = 3.380 states/eV per cell; mass density = 5.8 Mg/m³
1.0
-1.432 4.112 -0.138
-1.732 -0.735 -3.930
-3.733 -1.237 1.876
As Cl Ni
1 1 3
Direct
0.000 0.000 0.000 As
0.500 0.500 0.500 Cl
0.500 0.000 0.000 Ni
0.000 0.000 0.500 Ni
0.000 0.500 0.000 Ni

=====

Which of them is least stable? Easy: P.